Entry from Alexandria via LeMat-Bulk: a relaxed NiCO2 crystal (PBE+U).

Lattice parameters (Å, degrees): 4.646 4.646 4.646 124.07 124.07 83.08
Element x y z (fractional)
Ni1 0.000 0.000 0.000
Ni2 0.750 0.250 0.500
C1 0.250 0.750 0.500
C2 0.500 0.500 0.000
O1 0.238 0.625 0.113
O2 0.375 0.488 0.613
O3 0.512 0.125 0.887
O4 0.875 0.762 0.387

- Size of the total moment: 0.00 Bohr magnetons per cell
- Space-group type: I-42d
- Uncorrected energy: -4.560 eV per atom